This record from the Alexandria database describes an optimized crystal structure of CaTl2Te2. The functional is GGA-PBE.

space-group type = I4/mmm
M_tot = 0.000 μB/f.u.
calculated volume = 174.83 Å³ per cell
D(E_F) = 1.49 states/eV/f.u.
formation energy (no corrections) = -37 kJ/mol of atoms
relative energy among the computed polymorphs = 0.204 eV per atom

```
data_CaTl2Te2
_chemical_formula_sum 'Ca1 Tl2 Te2'
_symmetry_space_group_name_H-M 'P 1'
_symmetry_Int_Tables_number 1
_symmetry_space_group_name_Hall 'P 1'
_cell_length_a 6.096
_cell_length_b 6.096
_cell_length_c 6.380
_cell_angle_alpha 61.46
_cell_angle_beta 61.46
_cell_angle_gamma 90.00
loop_
_atom_site_label
_atom_site_type_symbol
_atom_site_fract_x
_atom_site_fract_y
_atom_site_fract_z
Tl1 Tl 0.344 0.344 0.312
Tl2 Tl 0.656 0.656 0.688
Te1 Te 0.750 0.250 0.500
Te2 Te 0.250 0.750 0.500
Ca1 Ca 0.000 0.000 0.000
```